(1)
Here is a geometry-optimized LiMnRe2 structure from Alexandria via LeMat-Bulk. Energies are from GGA-PBE.

Its crystal system is monoclinic. The calculation puts the total energy at -8.752 eV/atom. Its energy above the most stable polymorph in this dataset is 0.0665 eV/atom. Its density is 13.2 g/cm³.

It has space group C2/m (No. 12), with a = 5.186 Å, b = 8.526 Å, c = 2.585 Å, α = 90.00°, β = 106.66° and γ = 90.00°. The inequivalent atoms are Li at (0.000, 0.000, 0.000), Mn at (0.000, 0.500, 0.000) and Re at (0.250, 0.250, 0.500).

---

(2)
Here is a geometry-optimized CsNa2NbO4 structure from Alexandria via LeMat-Bulk. Energies are from GGA-PBE.

Its crystal system is tetragonal. The calculation puts the total energy at -6.322 eV/atom. The value obtained for the energy relative to the elements, uncorrected is -17.18 eV/f.u. Its density is 3.7 g/cm³.

It has space group I-42m (No. 121), with a = 6.071 Å, b = 6.071 Å, c = 8.132 Å, α = 90.00°, β = 90.00° and γ = 90.00°. The inequivalent atoms are Cs at (0.000, 0.000, 0.000), Na at (0.000, 0.500, 0.250), Nb at (0.000, 0.000, 0.500) and O at (0.178, 0.178, 0.364).

---

(3)
Here is a geometry-optimized Al3Au5 structure from Alexandria via LeMat-Bulk. Energies are from GGA-PBE.

Its crystal system is orthorhombic. The calculation puts the total energy at -3.707 eV/atom. Its energy above the most stable polymorph in this dataset is 0.0455 eV/atom. Its density is 13.1 g/cm³.

It has space group Cmmm (No. 65), with a = 6.947 Å, b = 8.857 Å, c = 4.405 Å, α = 90.00°, β = 90.00° and γ = 90.00°. The inequivalent atoms are Al at (0.000, 0.000, 0.000), Al at (0.000, 0.281, 0.500), Au at (0.000, 0.500, 0.000), Au at (0.209, 0.000, 0.500) and Au at (0.250, 0.250, 0.000).

---

(4)
Here is a geometry-optimized Sm3Mg2Pb4 structure from Alexandria via LeMat-Bulk. Energies are from GGA-PBE.

Its crystal system is triclinic. The calculation puts the total energy at -3.981 eV/atom. Its density is 8.4 g/cm³.

It has space group P-1 (No. 2), with a = 4.767 Å, b = 7.160 Å, c = 8.565 Å, α = 110.51°, β = 106.14° and γ = 90.02°. The inequivalent atoms are Sm at (0.000, 0.000, 0.000), Sm at (0.127, 0.613, 0.254), Mg at (0.329, 0.001, 0.661), Pb at (0.219, 0.262, 0.437) and Pb at (0.484, 0.698, 0.967).

---

(5)
Here is a geometry-optimized CsHf2TcN structure from Alexandria via LeMat-Bulk. Energies are from GGA-PBE.

Its crystal system is tetragonal. The calculation puts the total energy at -6.028 eV/atom. The value obtained for the energy relative to the elements, uncorrected is 9.31 eV/f.u. Its density is 7.1 g/cm³.

It has space group P4/mmm (No. 123), with a = 4.945 Å, b = 4.945 Å, c = 5.748 Å, α = 90.00°, β = 90.00° and γ = 90.00°. The inequivalent atoms are Cs at (0.000, 0.000, 0.000), Hf at (0.000, 0.500, 0.500), Tc at (0.000, 0.000, 0.500) and N at (0.500, 0.500, 0.000).

---

(6)
Here is a geometry-optimized GaHgPCl2 structure from Alexandria via LeMat-Bulk. Energies are from GGA-PBE.

Its crystal system is tetragonal. The calculation puts the total energy at -2.516 eV/atom. The value obtained for the energy relative to the elements, uncorrected is -0.15 eV/f.u. Its energy above the most stable polymorph in this dataset is 0.0000 eV/atom. Its density is 5.1 g/cm³.

It has space group P4/mmm (No. 123), with a = 4.865 Å, b = 4.865 Å, c = 5.082 Å, α = 90.00°, β = 90.00° and γ = 90.00°. The inequivalent atoms are Ga at (0.000, 0.000, 0.000), Hg at (0.500, 0.500, 0.500), P at (0.000, 0.000, 0.500) and Cl at (0.000, 0.500, 0.000).